Ac2HoGe3Au4 | the Alexandria database | GGA-PBE | optimized geometry; uncorrected energy = -4.641 eV per atom; D(E_F) = 0.444 states/eV/atom
1.0
4.499 0.000 0.000
0.000 4.499 0.000
0.000 0.000 11.839
Ho Ge Au Ac
1 3 4 2
Cartesian
2.250 2.250 5.920
0.000 0.000 5.920
2.250 0.000 10.344
0.000 2.250 1.495
0.000 2.250 4.093
2.250 2.250 0.000
0.000 0.000 0.000
2.250 0.000 7.746
2.250 0.000 2.611
0.000 2.250 9.229


DyMgNi | the Alexandria database | GGA-PBE | optimized geometry; uncorrected energy = -4.186 eV per atom; D(E_F) = 0.794 states/eV/atom
1.0
-3.208 -2.926 -1.663
3.288 0.063 0.047
-0.033 -5.599 9.919
Dy Ni Mg
2 2 2
Cartesian
0.629 -4.871 7.358
0.647 -1.818 1.950
-0.962 -4.090 2.553
-0.970 -5.524 5.093
-0.948 -2.009 -1.137
0.638 -3.344 4.655


Rb3Ac3AuO8 | the Alexandria database | GGA-PBE | optimized geometry; formation energy without anion corrections = -1964.9 meV/atom; uncorrected energy = -5.843 eV per atom; D(E_F) = 0.028 states/eV/atom
1.0
7.562 0.000 0.000
-3.781 6.465 -0.050
0.000 -4.312 6.665
O Rb Ac Au
8 3 3 1
Cartesian
5.788 -1.149 2.131
-2.007 3.302 4.485
0.000 -0.336 4.396
1.774 -1.149 2.131
3.781 2.489 2.220
2.007 3.302 4.485
0.000 2.127 2.084
3.781 0.025 4.532
1.890 3.233 -0.025
-1.890 3.233 -0.025
0.000 0.000 0.000
3.781 -2.156 3.333
1.890 1.076 3.308
-1.890 1.076 3.308
0.000 -2.156 3.333


Li3GePd2 | the Alexandria database | GGA-PBE | optimized geometry; uncorrected energy = -3.993 eV per atom; D(E_F) = 0.190 states/eV/atom
1.0
-1.247 1.097 3.881
3.020 -2.442 1.655
5.130 8.019 -2.913
Li Pd Ge
6 4 2
Cartesian
2.156 -0.654 3.165
4.747 7.328 -0.542
1.631 1.778 2.320
5.271 4.895 0.302
3.250 2.432 0.357
3.652 4.241 2.266
5.567 6.577 2.220
4.069 1.683 3.120
2.833 4.990 -0.497
1.335 0.096 0.403
3.129 6.672 1.420
3.773 0.001 1.202


Sr9CaSi6 | the Alexandria database | GGA-PBE | optimized geometry; formation energy without anion corrections = -409.5 meV/atom; uncorrected energy = -3.514 eV per atom; D(E_F) = 0.703 states/eV/atom
1.0
-0.858 9.734 0.018
-7.209 2.594 6.066
7.735 -5.846 1.221
Sr Si Ca
9 6 1
Cartesian
-0.624 5.086 3.878
-2.892 8.551 5.588
2.560 -2.069 1.717
-3.958 2.707 4.278
0.292 1.397 3.427
-6.226 6.173 5.988
0.000 0.000 0.000
3.626 3.775 3.027
5.893 0.310 1.317
-1.425 8.014 2.753
2.772 1.168 1.309
1.093 -1.531 4.551
-2.010 3.072 1.516
-3.104 5.314 5.996
-6.057 9.257 4.568
-4.033 6.164 3.042


ZnInHg2I | the Alexandria database | GGA-PBE | optimized geometry; formation energy without anion corrections = -74.2 meV/atom; uncorrected energy = -1.307 eV per atom; D(E_F) = 0.311 states/eV/atom
1.0
5.261 0.000 0.000
0.000 5.261 0.000
0.000 0.000 5.720
In I Zn Hg
1 1 1 2
Cartesian
0.000 0.000 2.860
2.631 2.631 2.860
0.000 0.000 0.000
0.000 2.631 0.000
2.631 0.000 0.000


CeGdMg4 | the Alexandria database | GGA-PBE | optimized geometry; uncorrected energy = -4.442 eV per atom; D(E_F) = 1.761 states/eV/atom
1.0
-2.677 -3.648 4.039
1.379 -5.904 0.136
3.197 -2.261 4.631
Gd Mg Ce
1 4 1
Cartesian
0.000 0.000 0.000
0.498 -4.432 5.435
-0.410 -6.252 3.188
1.187 -7.382 5.502
2.525 -5.560 3.484
0.475 -2.953 2.201


Li3Ce2ZrS6 | the Alexandria database | GGA-PBE | optimized geometry; formation energy without anion corrections = -1643.2 meV/atom; uncorrected energy = -5.887 eV per atom; D(E_F) = 1.048 states/eV/atom
1.0
6.771 -0.012 0.013
-3.395 5.859 0.013
-1.115 -1.931 6.199
S Ce Zr Li
6 2 1 3
Cartesian
2.120 -0.005 1.594
2.306 3.993 1.575
-0.045 -0.078 4.650
0.141 3.920 4.631
-1.064 1.834 1.594
3.325 2.081 4.631
3.397 1.936 0.013
-0.021 3.910 0.013
0.000 0.000 0.000
4.653 -0.077 3.112
-2.392 3.992 3.112
1.131 1.958 3.112